Density functional theory data (GGA-PBE) for crystalline Sc2OsCl at its relaxed geometry.

Values from the calculation:
Total DFT energy (no corrections) (eV per atom): -6.71
Space group: Immm, No. 71
Total magnetic moment (μB/atom): 0.000

Cell lengths 4.747, 4.747, 4.747 Å; angles 127.64, 112.50, 90.38 degrees
Element x y z (fractional)
Os: 0.750 0.250 0.500
Sc: 0.502 0.502 0.000
Sc: 0.998 0.998 0.000
Cl: 0.250 0.750 0.500